The following is a DFT calculation (PBE) of crystalline MnTcAsIr2 at its relaxed geometry.

a b c (Å): 4.506 4.536 4.506
angles (deg): 90.00 90.00 90.00
Last column: magnetic moment on the atom in μB.
Sites, in units of the cell vectors:
Tc  0.000  0.500  0.000  0.81
Ir  0.000  0.000  0.500  0.19
Ir  0.500  0.000  0.000  0.09
As  0.000  0.000  0.000  0.00
Mn  0.500  0.500  0.500  0.07

Summary:
The total DFT energy (no corrections) comes out at -6.886 eV/atom. The calculation puts the total magnetization at 1.2 Bohr magnetons per cell. As for the symmetry: P4/mmm, No. 123.